(1)
# RbPa4Te12 | Alexandria | PBE | relaxed
# Volume ... 1323 Å³ per cell
# Formation energy (no corrections) ... -0.57 eV per atom
data_RbPa4Te12
_cell_length_a 10.9789
_cell_length_b 10.9789
_cell_length_c 10.9789
_cell_angle_alpha 90.00
_cell_angle_beta 90.00
_cell_angle_gamma 90.00
_space_group_name_H-M_alt 'I m -3'
_space_group_IT_number 204
_space_group_name_Hall '-I 2 2 3'
loop_
_atom_site_label
_atom_site_fract_x
_atom_site_fract_y
_atom_site_fract_z
Rb1 0.0000 0.0000 0.0000
Pa1 0.2500 0.2500 0.2500
Te1 0.0000 0.3163 0.1637



(2)
# Rb3PaTe8 | Alexandria | PBE | relaxed
# Volume ... 1045 Å³ per cell
# Formation energy (no corrections) ... -0.70 eV per atom
data_Rb3PaTe8
_cell_length_a 9.6533
_cell_length_b 9.6533
_cell_length_c 11.2183
_cell_angle_alpha 90.00
_cell_angle_beta 90.00
_cell_angle_gamma 90.00
_space_group_name_H-M_alt 'I -4 2 m'
_space_group_IT_number 121
_space_group_name_Hall 'I -4 2'
loop_
_atom_site_label
_atom_site_fract_x
_atom_site_fract_y
_atom_site_fract_z
Rb1 0.0000 0.0000 0.0000
Rb2 0.0000 0.5000 0.2500
Pa1 0.0000 0.0000 0.5000
Te1 0.1431 0.1431 0.7122
Te2 0.2279 0.2279 0.4849



(3)
# Rb5Pa3Te8 | Alexandria | PBE | relaxed
# Volume ... 1962 Å³ per cell
# Formation energy (no corrections) ... -0.96 eV per atom
data_Rb5Pa3Te8
_cell_length_a 9.4044
_cell_length_b 9.4044
_cell_length_c 25.6139
_cell_angle_alpha 90.00
_cell_angle_beta 90.00
_cell_angle_gamma 120.00
_space_group_name_H-M_alt 'R -3 m'
_space_group_IT_number 166
_space_group_name_Hall '-R 3 2"'
loop_
_atom_site_label
_atom_site_fract_x
_atom_site_fract_y
_atom_site_fract_z
Rb1 0.0000 0.0000 0.0000
Rb2 0.0000 0.0000 0.5000
Rb3 0.0000 0.5000 0.0000
Pa1 0.0000 0.5000 0.5000
Te1 0.0000 0.0000 0.2332
Te2 0.0315 0.5157 0.7655



(4)
# Rb5PaTe4 | Alexandria | PBE | relaxed
# Volume ... 1027 Å³ per cell
# Formation energy (no corrections) ... -0.84 eV per atom
data_Rb5PaTe4
_cell_length_a 21.5928
_cell_length_b 4.8610
_cell_length_c 9.9308
_cell_angle_alpha 90.00
_cell_angle_beta 99.72
_cell_angle_gamma 90.00
_space_group_name_H-M_alt 'C 1 2/m 1'
_space_group_IT_number 12
loop_
_space_group_symop_operation_xyz
'x,y,z'
'-x,-y,-z'
'-x,y,-z'
'x,-y,z'
'x+1/2,y+1/2,z'
'-x+1/2,-y+1/2,-z'
'-x+1/2,y+1/2,-z'
'x+1/2,-y+1/2,z'
loop_
_atom_site_label
_atom_site_fract_x
_atom_site_fract_y
_atom_site_fract_z
Rb1 0.0000 0.0000 0.0000
Rb2 0.1600 0.5000 0.8312
Rb3 0.1791 0.5000 0.3415
Pa1 0.0000 0.0000 0.5000
Te1 0.0074 0.5000 0.2914
Te2 0.1430 0.0000 0.5729



(5)
# RbPa2Te7 | Alexandria | PBE | relaxed
# Volume ... 800 Å³ per cell
# Formation energy (no corrections) ... -0.65 eV per atom
data_RbPa2Te7
_cell_length_a 9.3858
_cell_length_b 14.4120
_cell_length_c 5.9126
_cell_angle_alpha 90.00
_cell_angle_beta 90.00
_cell_angle_gamma 90.00
_space_group_name_H-M_alt 'C m m m'
_space_group_IT_number 65
_space_group_name_Hall '-C 2 2'
loop_
_atom_site_label
_atom_site_fract_x
_atom_site_fract_y
_atom_site_fract_z
Rb1 0.0000 0.0000 0.0000
Pa1 0.0000 0.2895 0.5000
Te1 0.0000 0.2856 0.0000
Te2 0.0000 0.5000 0.5000
Te3 0.2057 0.1231 0.5000



(6)
# Rb2PaTe3 | Alexandria | PBE | relaxed
# Volume ... 986 Å³ per cell
# Formation energy (no corrections) ... -0.94 eV per atom
data_Rb2PaTe3
_cell_length_a 9.2484
_cell_length_b 14.3692
_cell_length_c 8.0278
_cell_angle_alpha 90.00
_cell_angle_beta 112.47
_cell_angle_gamma 90.00
_space_group_name_H-M_alt 'C 1 2/c 1'
_space_group_IT_number 15
loop_
_space_group_symop_operation_xyz
'x,y,z'
'-x,-y,-z'
'-x,y,-z+1/2'
'x,-y,z+1/2'
'x+1/2,y+1/2,z'
'-x+1/2,-y+1/2,-z'
'-x+1/2,y+1/2,-z+1/2'
'x+1/2,-y+1/2,z+1/2'
loop_
_atom_site_label
_atom_site_fract_x
_atom_site_fract_y
_atom_site_fract_z
Rb1 0.0000 0.0760 0.2500
Rb2 0.0000 0.2315 0.7500
Pa1 0.0000 0.4074 0.2500
Te1 0.1864 0.4329 0.0046
Te2 0.2500 0.2500 0.5000



Question: volume of number 2 (Rb3PaTe8)?
Answer: 1045 Å³ per cell



Question: Which formula does entry 4 have?
Answer: Rb5PaTe4



Question: What is the volume in the fourth record?
Answer: 1027 Å³ per cell